Entry 1:
A relaxed LiPr3Hg5 crystal, computed with PBE.

a = 6.4411 Å, b = 9.2843 Å, c = 9.2843 Å
α = 120.00°, β = 90.00°, γ = 90.00°
Fractional coordinates of all 18 atoms:
Li1 0.0000 0.0000 0.0000
Li2 0.5000 0.0000 0.0000
Pr1 0.7500 0.3675 0.3675
Pr2 0.7500 0.0000 0.6325
Pr3 0.7500 0.6325 0.0000
Pr4 0.2500 0.6325 0.6325
Pr5 0.2500 0.0000 0.3675
Pr6 0.2500 0.3675 0.0000
Hg1 0.0000 0.6667 0.3333
Hg2 0.5000 0.3333 0.6667
Hg3 0.0000 0.3333 0.6667
Hg4 0.5000 0.6667 0.3333
Hg5 0.7500 0.7122 0.7122
Hg6 0.7500 0.0000 0.2878
Hg7 0.7500 0.2878 0.0000
Hg8 0.2500 0.2878 0.2878
Hg9 0.2500 0.0000 0.7122
Hg10 0.2500 0.7122 0.0000

Values from the calculation:
space group: P6_3/mcm (193)
ΔH_f (0 K): -433.4 meV/atom
Fermi-level density of states: 7.61 states/eV/f.u.

---

Entry 2:
A relaxed LiPr6Hg5 crystal, computed with PBE.

a = 5.4390 Å, b = 7.7346 Å, c = 8.6313 Å
α = 90.00°, β = 108.42°, γ = 90.00°
Fractional coordinates of all 12 atoms:
Pr1 0.8321 0.7517 0.6619
Pr2 0.8321 0.2483 0.6619
Pr3 0.5000 0.2548 0.0000
Pr4 0.5000 0.7452 0.0000
Pr5 0.1679 0.7517 0.3381
Pr6 0.1679 0.2483 0.3381
Hg1 0.6640 0.5000 0.3306
Hg2 0.3440 0.0000 0.6846
Hg3 0.0000 0.5000 0.0000
Hg4 0.6560 0.0000 0.3154
Hg5 0.3360 0.5000 0.6694
Li1 0.0000 0.0000 0.0000

Values from the calculation:
space group: P2/m (10)
ΔH_f (0 K): -396.2 meV/atom
Fermi-level density of states: 13.49 states/eV/f.u.

---

Entry 3:
A relaxed LiPrHg crystal, computed with PBE.

a = 4.8926 Å, b = 7.3759 Å, c = 7.3759 Å
α = 120.00°, β = 90.00°, γ = 90.00°
Fractional coordinates of all 9 atoms:
Li1 0.0000 0.7709 0.7709
Li2 0.0000 0.0000 0.2291
Li3 0.0000 0.2291 0.0000
Pr1 0.5000 0.4268 0.4268
Pr2 0.5000 0.0000 0.5732
Pr3 0.5000 0.5732 0.0000
Hg1 0.0000 0.3333 0.6667
Hg2 0.0000 0.6667 0.3333
Hg3 0.5000 0.0000 0.0000

Values from the calculation:
space group: P-62m (189)
ΔH_f (0 K): -345.1 meV/atom
ΔE to the lowest computed polymorph: 0.0 meV/atom
Fermi-level density of states: 2.78 states/eV/f.u.

---

Entry 4:
A relaxed Li2Pr2Hg5 crystal, computed with PBE.

a = 5.1001 Å, b = 5.1001 Å, c = 8.3939 Å
α = 90.00°, β = 90.00°, γ = 90.00°
Fractional coordinates of all 9 atoms:
Li1 0.5000 0.5000 0.1609
Li2 0.5000 0.5000 0.8391
Pr1 0.0000 0.0000 0.0000
Pr2 0.0000 0.0000 0.5000
Hg1 0.5000 0.0000 0.2484
Hg2 0.5000 0.0000 0.7516
Hg3 0.0000 0.5000 0.2484
Hg4 0.0000 0.5000 0.7516
Hg5 0.5000 0.5000 0.5000

Values from the calculation:
space group: P4/mmm (123)
ΔH_f (0 K): -356.2 meV/atom
Fermi-level density of states: 8.16 states/eV/f.u.

---

Entry 5:
A relaxed Li4Pr3Hg4 crystal, computed with PBE.

a = 3.5382 Å, b = 4.8279 Å, c = 15.7797 Å
α = 81.15°, β = 83.60°, γ = 90.05°
Fractional coordinates of all 11 atoms:
Li1 0.5938 0.0942 0.8122
Li2 0.2566 0.2570 0.4861
Li3 0.7434 0.7431 0.5139
Li4 0.4062 0.9058 0.1878
Pr1 0.1433 0.6438 0.7134
Pr2 0.8567 0.3562 0.2866
Pr3 0.0000 0.0000 0.0000
Hg1 0.5516 0.5515 0.8970
Hg2 0.4484 0.4485 0.1030
Hg3 0.3134 0.8132 0.3731
Hg4 0.6866 0.1868 0.6269

Values from the calculation:
space group: C2/m (12)
ΔH_f (0 K): -332.6 meV/atom
ΔE to the lowest computed polymorph: 7.1 meV/atom
Fermi-level density of states: 8.57 states/eV/f.u.

---

Entry 6:
A relaxed LiPr2Hg crystal, computed with PBE.

a = 5.4326 Å, b = 5.4326 Å, c = 5.4326 Å
α = 60.00°, β = 60.00°, γ = 60.00°
Fractional coordinates of all 4 atoms:
Pr1 0.2500 0.2500 0.2500
Pr2 0.7500 0.7500 0.7500
Hg1 0.0000 0.0000 0.0000
Li1 0.5000 0.5000 0.5000

Values from the calculation:
space group: Fm-3m (225)
ΔH_f (0 K): -206.3 meV/atom
ΔE to the lowest computed polymorph: 13.9 meV/atom
Fermi-level density of states: 5.22 states/eV/f.u.

---

Entry 7:
A relaxed LiPr2Hg4 crystal, computed with PBE.

a = 4.8372 Å, b = 4.8372 Å, c = 8.7922 Å
α = 105.97°, β = 105.97°, γ = 90.00°
Fractional coordinates of all 7 atoms:
Li1 0.0000 0.0000 0.0000
Pr1 0.6402 0.6402 0.2804
Pr2 0.3598 0.3598 0.7196
Hg1 0.8340 0.8340 0.6681
Hg2 0.1660 0.1660 0.3319
Hg3 0.0000 0.5000 0.0000
Hg4 0.5000 0.0000 0.0000

Values from the calculation:
space group: I4/mmm (139)
ΔH_f (0 K): -267.8 meV/atom
ΔE to the lowest computed polymorph: 74.6 meV/atom
Fermi-level density of states: 8.26 states/eV/f.u.

---

Entry 8:
A relaxed Li4Pr3Hg4 crystal, computed with PBE.

a = 4.6561 Å, b = 7.8326 Å, c = 8.6245 Å
α = 117.01°, β = 105.66°, γ = 90.00°
Fractional coordinates of all 11 atoms:
Li1 0.3224 0.1361 0.6449
Li2 0.6776 0.4912 0.3551
Li3 0.6776 0.8639 0.3551
Li4 0.3224 0.5088 0.6449
Pr1 0.1178 0.1178 0.2355
Pr2 0.8822 0.8822 0.7645
Pr3 0.0000 0.5000 0.0000
Hg1 0.2230 0.7230 0.4460
Hg2 0.7770 0.2770 0.5540
Hg3 0.5000 0.7977 0.0000
Hg4 0.5000 0.2023 0.0000

Values from the calculation:
space group: Immm (71)
ΔH_f (0 K): -339.7 meV/atom
ΔE to the lowest computed polymorph: 0.0 meV/atom
Fermi-level density of states: 8.97 states/eV/f.u.